(1)
Density functional theory data (PBE) for an optimized crystal structure of YHg2Au.

a b c (Å): 4.3756 4.3756 4.8698
angles (deg): 90.00 90.00 89.96
Element x y z (fractional)
Y (0.5000, 0.0000, 0.5000)
Au (0.0000, 0.5000, 0.5000)
Hg (0.0000, 0.0000, 0.0000)
Hg (0.5000, 0.5000, 0.0000)

Summary:
Energy relative to the elements ... -0.40 eV per atom

=====

(2)
Density functional theory data (PBE) for an optimized crystal structure of ZrAgCl2.

a b c (Å): 8.7009 8.7009 8.7009
angles (deg): 23.63 23.63 23.63
Site moments in Bohr magnetons follow the coordinates.
Element x y z (fractional)
Zr (0.4985, 0.4985, 0.4985)  0.30
Ag (0.7512, 0.7512, 0.7512)  0.03
Cl (0.0199, 0.0199, 0.0199)  0.02
Cl (0.2303, 0.2303, 0.2303)  0.00

Summary:
E_form (uncorrected) ... -0.691 eV per atom